A relaxed CaSn2Bi2 crystal. Source: Alexandria via LeMat-Bulk, functional PBE.

Cell: 8.4536 8.4536 4.3494 Å, 90.00 90.00 90.00°
Atoms (fractional coordinates):
Bi  0.8240  0.3240  0.5000
Bi  0.1760  0.6760  0.5000
Bi  0.6760  0.8240  0.5000
Bi  0.3240  0.1760  0.5000
Ca  0.0000  0.0000  0.0000
Ca  0.5000  0.5000  0.0000
Sn  0.8726  0.6274  0.0000
Sn  0.1274  0.3726  0.0000
Sn  0.6274  0.1274  0.0000
Sn  0.3726  0.8726  0.0000

Calculated values
Calculated formation energy: -0.163 eV per atom
Calculated total energy: -3.72 eV/atom
M_tot: 0.000 μB/f.u.
SG: No. 127

=====

A relaxed TmPaGaAg crystal. Source: Alexandria via LeMat-Bulk, functional PBE.

Cell: 5.0809 5.0809 5.0809 Å, 60.00 60.00 60.00°
Each line ends with the local moment (μB).
Atoms (fractional coordinates):
Tm  0.5000  0.5000  0.5000  0.30
Pa  0.0000  0.0000  0.0000  0.87
Ga  0.7500  0.7500  0.7500  -0.01
Ag  0.2500  0.2500  0.2500  0.04

Calculated values
Calculated formation energy: -0.084 eV per atom
Calculated total energy: -5.05 eV/atom
M_tot: 1.525 μB/f.u.
SG: No. 216